Entry 1:
Computed, not measured: crystalline LuZnFeAg at its relaxed geometry at the PBE-GGA level of DFT.

The structure in POSCAR format:
```
LuZnFeAg
1.0
0.0000 3.2737 3.2737
3.2737 0.0000 3.2737
3.2737 3.2737 0.0000
Lu Zn Fe Ag
1 1 1 1
direct
0.0000 0.0000 0.0000 Lu
0.5000 0.5000 0.5000 Zn
0.7500 0.7500 0.7500 Fe
0.2500 0.2500 0.2500 Ag
```

As for the space group: No. 216. The size of the total moment is 2.15 Bohr magnetons per cell. The polymorph energy (0 for the lowest one) comes out at 0.013 eV/atom. The formation energy is 0.067 eV per atom.


Entry 2:
Computed, not measured: crystalline PPdAuO at its relaxed geometry at the PBE-GGA level of DFT.

The structure in POSCAR format:
```
PPdAuO
1.0
4.0198 0.0000 0.0000
0.0000 4.0198 0.0000
0.0000 0.0000 6.7536
P Pd Au O
2 2 2 2
direct
0.2500 0.2500 0.2217 P
0.7500 0.7500 0.7783 P
0.2500 0.7500 0.0000 Pd
0.7500 0.2500 0.0000 Pd
0.2500 0.2500 0.6864 Au
0.7500 0.7500 0.3136 Au
0.2500 0.7500 0.5000 O
0.7500 0.2500 0.5000 O
```

As for the space group: No. 129. The polymorph energy (0 for the lowest one) comes out at 0.241 eV/atom.


Entry 3:
Computed, not measured: crystalline ZrScCuBi at its relaxed geometry at the PBE-GGA level of DFT.

The structure in POSCAR format:
```
ZrScCuBi
1.0
0.0000 3.4747 3.4747
3.4747 0.0000 3.4747
3.4747 3.4747 0.0000
Zr Sc Cu Bi
1 1 1 1
direct
0.0000 0.0000 0.0000 Zr
0.5000 0.5000 0.5000 Sc
0.7500 0.7500 0.7500 Cu
0.2500 0.2500 0.2500 Bi
```

As for the space group: No. 216. The size of the total moment is 0.01 Bohr magnetons per cell. The polymorph energy (0 for the lowest one) comes out at 0.000 eV/atom.


Entry 4:
Computed, not measured: crystalline TbErNi at its relaxed geometry at the PBE-GGA level of DFT.

The structure in POSCAR format:
```
TbErNi
1.0
4.6293 0.0000 0.0000
0.0000 6.1851 3.5750
0.0000 -6.1851 3.5750
Tb Er Ni
3 3 3
direct
0.0000 0.0000 0.0000 Tb
0.0000 0.1948 0.5976 Tb
0.0000 0.5976 0.1948 Tb
0.5000 0.3302 0.3302 Er
0.5000 0.5972 0.8643 Er
0.5000 0.8643 0.5972 Er
0.0000 0.5972 0.5972 Ni
0.5000 0.2636 0.9304 Ni
0.5000 0.9304 0.2636 Ni
```

As for the space group: No. 38. The size of the total moment is 0.00 Bohr magnetons per cell. The polymorph energy (0 for the lowest one) comes out at 0.000 eV/atom. The formation energy is -0.262 eV per atom.


Entry 5:
Computed, not measured: crystalline YCuGeOs at its relaxed geometry at the PBE-GGA level of DFT.

The structure in POSCAR format:
```
YCuGeOs
1.0
0.0000 3.2731 3.2731
3.2731 0.0000 3.2731
3.2731 3.2731 0.0000
Y Cu Ge Os
1 1 1 1
direct
0.0000 0.0000 0.0000 Y
0.5000 0.5000 0.5000 Cu
0.2500 0.2500 0.2500 Ge
0.7500 0.7500 0.7500 Os
```

As for the space group: No. 216. The size of the total moment is 0.00 Bohr magnetons per cell. The polymorph energy (0 for the lowest one) comes out at 0.267 eV/atom.


Entry 6:
Computed, not measured: crystalline SmW at its relaxed geometry at the PBE-GGA level of DFT.

The structure in POSCAR format:
```
SmW
1.0
0.0000 2.9369 2.9369
2.9369 0.0000 2.9369
2.9369 2.9369 0.0000
Sm W
1 1
direct
0.0000 0.0000 0.0000 Sm
0.5000 0.5000 0.5000 W
```

As for the space group: No. 225. The size of the total moment is 0.19 Bohr magnetons per cell. The polymorph energy (0 for the lowest one) comes out at 0.862 eV/atom. The formation energy is 1.825 eV per atom.


Entry 7:
Computed, not measured: crystalline Lu4ZnCuC2 at its relaxed geometry at the PBE-GGA level of DFT.

The structure in POSCAR format:
```
Lu4ZnCuC2
1.0
3.5071 0.0000 0.0000
-1.7536 3.0373 0.0000
0.0000 0.0000 14.2406
Lu Zn Cu C
4 1 1 2
direct
0.0000 0.0000 0.1475 Lu
0.0000 0.0000 0.8525 Lu
0.3333 0.6667 0.3319 Lu
0.3333 0.6667 0.6681 Lu
0.0000 0.0000 0.5000 Zn
0.3333 0.6667 0.0000 Cu
0.6667 0.3333 0.2368 C
0.6667 0.3333 0.7632 C
```

As for the space group: No. 187. Its total energy is -0.4014 Ry per atom. The size of the total moment is 0.03 Bohr magnetons per cell.


Entry 8:
Computed, not measured: crystalline Cu2Ag3 at its relaxed geometry at the PBE-GGA level of DFT.

The structure in POSCAR format:
```
Cu2Ag3
1.0
2.8748 0.0000 0.0000
0.0000 2.8748 0.0000
0.0000 0.0000 18.8006
Cu Ag
4 6
direct
0.0000 0.0000 0.0000 Cu
0.0000 0.0000 0.1946 Cu
0.0000 0.0000 0.5803 Cu
0.5000 0.5000 0.2722 Cu
0.0000 0.0000 0.3696 Ag
0.0000 0.0000 0.7899 Ag
0.5000 0.5000 0.0970 Ag
0.5000 0.5000 0.4839 Ag
0.5000 0.5000 0.6765 Ag
0.5000 0.5000 0.9036 Ag
```

As for the space group: No. 99. The polymorph energy (0 for the lowest one) comes out at 0.034 eV/atom. The formation energy is 0.066 eV per atom.


Which formula does entry 1 have? LuZnFeAg


Number 5 is which compound? YCuGeOs